Compound: ThAl2Rh6
Source: the Alexandria database
Functional: GGA-PBE
Structure: optimized geometry

a b c (Å): 7.8099 7.8099 7.8099
angles (deg): 60.00 60.00 60.00
Fractional coordinates of all 18 atoms:
Th (0.5000, 0.5000, 0.5000)
Th (0.7500, 0.7500, 0.7500)
Al (0.1250, 0.1250, 0.1250)
Al (0.1250, 0.6250, 0.1250)
Al (0.1250, 0.1250, 0.6250)
Al (0.6250, 0.1250, 0.1250)
Rh (0.2600, 0.2600, 0.7400)
Rh (0.7400, 0.7400, 0.2600)
Rh (0.2600, 0.7400, 0.2600)
Rh (0.2600, 0.7400, 0.7400)
Rh (0.5100, 0.5100, 0.9900)
Rh (0.5100, 0.9900, 0.9900)
Rh (0.7400, 0.2600, 0.7400)
Rh (0.9900, 0.9900, 0.5100)
Rh (0.5100, 0.9900, 0.5100)
Rh (0.9900, 0.5100, 0.5100)
Rh (0.7400, 0.2600, 0.2600)
Rh (0.9900, 0.5100, 0.9900)

**Total DFT energy (no corrections)**: -60.9 eV/f.u.